No. 1
# CoAuBr (SCAN, PBEsol geometry)
data_CoAuBr
_chemical_formula_sum 'Co1 Au1 Br1'
_cell_length_a 4.284
_cell_length_b 4.284
_cell_length_c 4.284
_cell_angle_alpha 60.00
_cell_angle_beta 60.00
_cell_angle_gamma 60.00
_space_group_name_H-M_alt 'P 1'
_space_group_IT_number 1
_space_group_name_Hall 'P 1'
loop_
_atom_site_label
_atom_site_fract_x
_atom_site_fract_y
_atom_site_fract_z
_atom_site_occupancy
Co1 0.250 0.250 0.250 1
Au1 0.000 0.000 0.000 1
Br1 0.500 0.500 0.500 1
# raw formation energy = 0.49 eV/atom
# DOS at the Fermi energy = 2.47 states/eV/f.u.
# volume = 55.6 Å³/f.u.
# total DFT energy (no corrections) = -34.821 eV per atom

No. 2
# Co2AuBr (SCAN, PBEsol geometry)
data_Co2AuBr
_chemical_formula_sum 'Co2 Au1 Br1'
_cell_length_a 3.012
_cell_length_b 4.409
_cell_length_c 4.409
_cell_angle_alpha 90.00
_cell_angle_beta 90.00
_cell_angle_gamma 90.00
_space_group_name_H-M_alt 'P 1'
_space_group_IT_number 1
_space_group_name_Hall 'P 1'
loop_
_atom_site_label
_atom_site_fract_x
_atom_site_fract_y
_atom_site_fract_z
_atom_site_occupancy
Co1 0.000 0.000 0.500 1
Co2 0.000 0.500 0.000 1
Au1 0.500 0.500 0.500 1
Br1 0.500 0.000 0.000 1
# raw formation energy = 0.41 eV/atom
# DOS at the Fermi energy = 1.42 states/eV/f.u.
# volume = 58.6 Å³/f.u.
# total DFT energy (no corrections) = -30.397 eV per atom